ThGa2AgPt5: optimized geometry, PBE.

Summary:
The value obtained for the magnetization is 0.0 Bohr magnetons per cell. For the formation energy, the calculation gives -0.67 eV per atom. The value obtained for the total energy is -5.843 eV per atom. As for the space-group type: No. 123.

CIF file:
```
data_ThGa2AgPt5
_space_group_name_H-M_alt 'P 1'
_space_group_IT_number 1
_space_group_name_Hall 'P 1'
_cell_length_a 4.143
_cell_length_b 4.143
_cell_length_c 9.688
_cell_angle_alpha 90.00
_cell_angle_beta 90.00
_cell_angle_gamma 90.00
loop_
_atom_site_label
_atom_site_type_symbol
_atom_site_fract_x
_atom_site_fract_y
_atom_site_fract_z
Th1 Th 0.000 0.000 0.500
Ga1 Ga 0.500 0.500 0.125
Ga2 Ga 0.500 0.500 0.875
Ag1 Ag 0.000 0.000 0.000
Pt1 Pt 0.000 0.500 0.275
Pt2 Pt 0.500 0.000 0.275
Pt3 Pt 0.000 0.500 0.725
Pt4 Pt 0.500 0.000 0.725
Pt5 Pt 0.500 0.500 0.500
```



HgSbOs2: optimized geometry, PBE.

Summary:
The calculation puts the uncorrected formation energy at 0.814 eV per atom. The value obtained for the magnetization is 0.0 Bohr magnetons per cell. The value obtained for the total energy is -5.907 eV per atom. As for the space-group type: No. 35.

CIF file:
```
data_HgSbOs2
_space_group_name_H-M_alt 'P 1'
_space_group_IT_number 1
_space_group_name_Hall 'P 1'
_cell_length_a 2.932
_cell_length_b 2.932
_cell_length_c 10.778
_cell_angle_alpha 90.00
_cell_angle_beta 90.00
_cell_angle_gamma 120.97
loop_
_atom_site_label
_atom_site_type_symbol
_atom_site_fract_x
_atom_site_fract_y
_atom_site_fract_z
Hg1 Hg 0.500 0.500 0.787
Os1 Os 0.000 0.000 0.031
Os2 Os 0.500 0.500 0.227
Sb1 Sb 0.000 0.000 0.454
```



KIn2F: optimized geometry, PBE.

Summary:
The calculation puts the uncorrected formation energy at -0.739 eV per atom. The value obtained for the magnetization is 0.0 Bohr magnetons per cell. The value obtained for the total energy is -2.850 eV per atom. As for the space-group type: No. 122.

CIF file:
```
data_KIn2F
_space_group_name_H-M_alt 'P 1'
_space_group_IT_number 1
_space_group_name_Hall 'P 1'
_cell_length_a 5.415
_cell_length_b 5.415
_cell_length_c 9.901
_cell_angle_alpha 74.13
_cell_angle_beta 74.13
_cell_angle_gamma 90.00
loop_
_atom_site_label
_atom_site_type_symbol
_atom_site_fract_x
_atom_site_fract_y
_atom_site_fract_z
K1 K 0.000 0.000 0.000
K2 K 0.750 0.250 0.500
F1 F 0.500 0.500 0.000
F2 F 0.250 0.750 0.500
In1 In 0.468 0.125 0.250
In2 In 0.282 0.625 0.250
In3 In 0.375 0.532 0.750
In4 In 0.875 0.718 0.750
```



LiBiIr: optimized geometry, PBE.

Summary:
The value obtained for the magnetization is 0.0 Bohr magnetons per cell. For the formation energy, the calculation gives -0.09 eV per atom. The value obtained for the total energy is -4.977 eV per atom. As for the space-group type: No. 2.

CIF file:
```
data_LiBiIr
_space_group_name_H-M_alt 'P 1'
_space_group_IT_number 1
_space_group_name_Hall 'P 1'
_cell_length_a 3.201
_cell_length_b 5.852
_cell_length_c 7.229
_cell_angle_alpha 113.73
_cell_angle_beta 102.29
_cell_angle_gamma 90.00
loop_
_atom_site_label
_atom_site_type_symbol
_atom_site_fract_x
_atom_site_fract_y
_atom_site_fract_z
Li1 Li 0.627 0.132 0.765
Li2 Li 0.373 0.868 0.235
Bi1 Bi 0.632 0.635 0.771
Bi2 Bi 0.368 0.365 0.229
Ir1 Ir 0.000 0.771 0.500
Ir2 Ir 0.000 0.229 0.500
```



KIn2Ag: optimized geometry, PBE.

Summary:
The value obtained for the magnetization is 0.0 Bohr magnetons per cell. For the formation energy, the calculation gives 0.14 eV per atom. The value obtained for the total energy is -2.216 eV per atom. As for the space-group type: No. 65.

CIF file:
```
data_KIn2Ag
_space_group_name_H-M_alt 'P 1'
_space_group_IT_number 1
_space_group_name_Hall 'P 1'
_cell_length_a 6.400
_cell_length_b 6.400
_cell_length_c 3.089
_cell_angle_alpha 90.00
_cell_angle_beta 90.00
_cell_angle_gamma 119.90
loop_
_atom_site_label
_atom_site_type_symbol
_atom_site_fract_x
_atom_site_fract_y
_atom_site_fract_z
Ag1 Ag 0.000 0.500 0.500
In1 In 0.000 0.000 0.000
In2 In 0.500 0.500 0.000
K1 K 0.500 0.000 0.500
```



YCoS3: optimized geometry, PBE.

Summary:
The calculation puts the uncorrected formation energy at -0.708 eV per atom. The value obtained for the magnetization is 0.9 Bohr magnetons per cell. The value obtained for the total energy is -5.898 eV per atom. As for the space-group type: No. 221.

CIF file:
```
data_YCoS3
_space_group_name_H-M_alt 'P 1'
_space_group_IT_number 1
_space_group_name_Hall 'P 1'
_cell_length_a 4.473
_cell_length_b 4.473
_cell_length_c 4.473
_cell_angle_alpha 90.00
_cell_angle_beta 90.00
_cell_angle_gamma 90.00
loop_
_atom_site_label
_atom_site_type_symbol
_atom_site_fract_x
_atom_site_fract_y
_atom_site_fract_z
Y1 Y 0.500 0.500 0.500
S1 S 0.000 0.500 0.000
S2 S 0.000 0.000 0.500
S3 S 0.500 0.000 0.000
Co1 Co 0.000 0.000 0.000
```



Cs2ZnCdAu: optimized geometry, PBE.

Summary:
The value obtained for the magnetization is 0.0 Bohr magnetons per cell. For the formation energy, the calculation gives 0.01 eV per atom. The value obtained for the total energy is -1.426 eV per atom. As for the space-group type: No. 123.

CIF file:
```
data_Cs2ZnCdAu
_space_group_name_H-M_alt 'P 1'
_space_group_IT_number 1
_space_group_name_Hall 'P 1'
_cell_length_a 6.877
_cell_length_b 6.877
_cell_length_c 5.415
_cell_angle_alpha 90.00
_cell_angle_beta 90.00
_cell_angle_gamma 90.00
loop_
_atom_site_label
_atom_site_type_symbol
_atom_site_fract_x
_atom_site_fract_y
_atom_site_fract_z
Cs1 Cs 0.000 0.500 0.000
Cs2 Cs 0.500 0.000 0.000
Zn1 Zn 0.500 0.500 0.500
Au1 Au 0.000 0.000 0.000
Cd1 Cd 0.000 0.000 0.500
```



CuIO2: optimized geometry, PBE.

Summary:
The calculation puts the uncorrected formation energy at 0.597 eV per atom. The value obtained for the magnetization is 0.0 Bohr magnetons per cell. The value obtained for the total energy is -3.293 eV per atom. As for the space-group type: No. 225.

CIF file:
```
data_CuIO2
_space_group_name_H-M_alt 'P 1'
_space_group_IT_number 1
_space_group_name_Hall 'P 1'
_cell_length_a 4.144
_cell_length_b 4.144
_cell_length_c 4.144
_cell_angle_alpha 60.00
_cell_angle_beta 60.00
_cell_angle_gamma 60.00
loop_
_atom_site_label
_atom_site_type_symbol
_atom_site_fract_x
_atom_site_fract_y
_atom_site_fract_z
I1 I 0.500 0.500 0.500
O1 O 0.250 0.250 0.250
O2 O 0.750 0.750 0.750
Cu1 Cu 0.000 0.000 0.000
```